(1)
VASP calculation (SCAN) on a crystal of TiSiAg2O5 relaxed with PBEsol.

```
TiSiAg2O5
1.0
-1.311 2.994 4.279
1.379 -4.985 3.910
6.136 2.048 0.447
Si O Ag Ti
2 10 4 2
direct
0.000 0.000 0.000
0.000 0.500 0.500
0.748 0.500 0.000
0.827 0.000 0.792
0.827 0.000 0.208
0.252 0.000 0.500
0.173 0.500 0.708
0.173 0.208 0.000
0.827 0.708 0.500
0.173 0.500 0.292
0.827 0.292 0.500
0.173 0.792 0.000
0.500 0.750 0.250
0.500 0.250 0.750
0.500 0.750 0.750
0.500 0.250 0.250
0.934 0.000 0.500
0.066 0.500 0.000
```

SG	P4/nmm
formation energy without anion corrections	-2.1330	eV/atom
final energy	-139.133	eV per formula unit
spin magnetization	0.00	μB/f.u.


(2)
VASP calculation (SCAN) on a crystal of KGaAgMo2 relaxed with PBEsol.

```
KGaAgMo2
1.0
-1.359 4.085 2.125
-3.553 0.779 -3.769
-3.551 -2.640 2.803
K Ag Ga Mo
1 1 1 2
direct
0.500 0.500 0.500
0.000 0.000 0.000
0.500 0.000 0.000
0.000 0.000 0.500
0.000 0.500 0.000
```

formation enthalpy at 0 K	1604	meV/atom
SG	P4/mmm
final energy	-117.791	eV per formula unit
spin magnetization	8.61	μB/f.u.


(3)
VASP calculation (SCAN) on a crystal of Ba2SiMo relaxed with PBEsol.

```
Ba2SiMo
1.0
-3.090 -2.040 2.129
0.250 -3.686 -3.170
4.051 -0.860 5.057
Si Ba Mo
1 2 1
direct
0.500 0.577 0.155
0.500 0.270 0.540
0.000 0.985 0.970
0.000 0.674 0.348
```

SG	Amm2
formation energy without anion corrections	0.3260	eV/atom
final energy	-122.697	eV per formula unit
spin magnetization	2.07	μB/f.u.


(4)
VASP calculation (SCAN) on a crystal of BaDy2NiO5 relaxed with PBEsol.

```
BaDy2NiO5
1.0
3.717 0.000 0.000
0.000 5.710 0.000
-1.858 -2.855 5.624
O Dy Ni Ba
5 2 1 1
direct
0.000 0.500 0.000
0.351 0.590 0.702
0.351 0.112 0.702
0.649 0.888 0.298
0.649 0.410 0.298
0.798 0.298 0.596
0.202 0.702 0.404
0.500 0.500 0.000
0.000 0.000 0.000
```

SG	Immm
formation energy without anion corrections	-3.1098	eV/atom
final energy	-210.460	eV per formula unit
spin magnetization	2.00	μB/f.u.


(5)
VASP calculation (SCAN) on a crystal of Fe3CoBi4As4O24 relaxed with PBEsol.

```
Fe3CoBi4As4O24
1.0
6.973 0.017 -0.034
-2.327 7.545 0.308
-0.792 -2.942 8.724
O As Bi Fe Co
24 4 4 3 1
direct
0.926 0.482 0.190
0.761 0.521 0.928
0.885 0.003 0.622
0.074 0.518 0.810
0.578 0.022 0.812
0.932 0.315 0.458
0.261 0.017 0.929
0.667 0.697 0.175
0.422 0.978 0.188
0.618 0.502 0.381
0.432 0.814 0.459
0.739 0.983 0.071
0.382 0.498 0.619
0.115 0.997 0.378
0.525 0.296 0.079
0.475 0.704 0.921
0.068 0.685 0.542
0.568 0.186 0.541
0.021 0.792 0.076
0.172 0.198 0.177
0.979 0.208 0.924
0.333 0.303 0.825
0.828 0.802 0.823
0.239 0.479 0.072
0.818 0.007 0.793
0.182 0.993 0.207
0.313 0.502 0.790
0.687 0.498 0.210
0.791 0.484 0.597
0.710 0.016 0.404
0.290 0.984 0.596
0.209 0.516 0.403
0.253 0.254 0.003
0.747 0.746 0.997
0.500 0.000 0.000
0.000 0.500 0.000
```

SG	P-1
formation energy without anion corrections	-1.2657	eV/atom
final energy	-661.888	eV per formula unit
spin magnetization	11.06	μB/f.u.


(6)
VASP calculation (SCAN) on a crystal of ZrBeTl2Ge relaxed with PBEsol.

```
ZrBeTl2Ge
1.0
-3.917 -1.084 -2.124
2.259 -2.994 -2.638
-0.825 -3.568 3.343
Tl Ge Zr Be
2 1 1 1
direct
0.500 0.000 0.000
0.000 0.500 0.000
0.500 0.500 0.500
0.000 0.000 0.500
0.000 0.000 0.000
```

formation enthalpy at 0 K	357	meV/atom
SG	P4/mmm
final energy	-197.072	eV per formula unit
spin magnetization	0.00	μB/f.u.


(7)
VASP calculation (SCAN) on a crystal of CuAu relaxed with PBEsol.

```
CuAu
1.0
-2.559 -0.770 -0.674
0.221 -3.378 3.024
-1.698 2.798 3.250
Cu Au
2 2
direct
0.000 0.500 0.904
0.500 0.000 0.096
0.500 0.500 0.387
0.000 0.000 0.613
```

formation enthalpy at 0 K	-12	meV/atom
SG	Pmmn
final energy	-84.380	eV per formula unit
spin magnetization	0.00	μB/f.u.


(8)
VASP calculation (SCAN) on a crystal of MgIO2 relaxed with PBEsol.

```
MgIO2
1.0
-1.520 -2.588 1.246
1.643 -2.755 0.520
1.461 0.150 6.331
I Mg O
1 1 2
direct
0.000 0.000 0.000
0.500 0.500 0.500
0.889 0.889 0.332
0.111 0.111 0.668
```

SG	R-3m
formation energy without anion corrections	-1.4647	eV/atom
final energy	-60.037	eV per formula unit
spin magnetization	0.00	μB/f.u.


(9)
VASP calculation (SCAN) on a crystal of MnAlAs2 relaxed with PBEsol.

```
MnAlAs2
1.0
5.647 0.000 0.000
0.000 5.647 0.000
-2.824 -2.824 5.650
As Al Mn
4 2 2
direct
0.368 0.875 0.250
0.125 0.118 0.750
0.882 0.375 0.250
0.625 0.632 0.750
0.750 0.250 0.500
0.500 0.500 0.000
0.250 0.750 0.500
0.000 0.000 0.000
```

formation enthalpy at 0 K	-376	meV/atom
SG	I-42d
final energy	-67.891	eV per formula unit
spin magnetization	4.00	μB/f.u.


(10)
VASP calculation (SCAN) on a crystal of In2PI relaxed with PBEsol.

```
In2PI
1.0
5.212 0.000 0.000
2.606 4.514 0.000
2.606 1.505 4.256
P In I
1 2 1
direct
0.000 0.000 0.000
0.250 0.250 0.250
0.750 0.750 0.750
0.500 0.500 0.500
```

SG	Fm-3m
formation energy without anion corrections	0.3233	eV/atom
final energy	-112.620	eV per formula unit
spin magnetization	0.00	μB/f.u.


(11)
VASP calculation (SCAN) on a crystal of Zr2CrBr relaxed with PBEsol.

```
Zr2CrBr
1.0
3.163 0.000 0.000
0.000 3.234 0.000
0.000 0.000 7.823
Br Zr Cr
1 2 1
direct
0.500 0.000 0.000
0.000 0.000 0.697
0.000 0.000 0.303
0.500 0.500 0.500
```

energy above the most stable polymorph in this dataset	0	meV/atom
SG	Pmmm
formation energy without anion corrections	-0.2915	eV/atom
final energy	-100.407	eV per formula unit
spin magnetization	0.55	μB/f.u.


(12)
VASP calculation (SCAN) on a crystal of Rb2FeAsO relaxed with PBEsol.

```
Rb2FeAsO
1.0
4.324 0.000 0.000
0.000 6.197 0.000
0.000 0.000 6.197
O Fe Rb As
1 1 2 1
direct
0.500 0.500 0.500
0.000 0.000 0.000
0.000 0.500 0.000
0.000 0.000 0.500
0.500 0.000 0.000
```

SG	P4/mmm
formation energy without anion corrections	0.1258	eV/atom
final energy	-85.401	eV per formula unit
spin magnetization	3.07	μB/f.u.